# 1
The following is a SCAN calculation of a PBEsol-optimized structure of BaNaY3, from the Alexandria database.

a = 5.777 Å, b = 5.777 Å, c = 5.777 Å
α = 90.00°, β = 90.00°, γ = 90.00°
Fractional positions:
Y1 0.000 0.500 0.000
Y2 0.000 0.000 0.500
Y3 0.500 0.000 0.000
Na1 0.500 0.500 0.500
Ba1 0.000 0.000 0.000

* excess energy over the best structure of this formula in the dataset: 265 meV/atom
* SG: No. 221
* DFT formation energy: 939 meV/atom
* DOS(E_F): 1.81 states/eV per cell
* crystal system: cubic

# 2
The following is a SCAN calculation of a PBEsol-optimized structure of BaCa2LaRh, from the Alexandria database.

a = 5.381 Å, b = 5.773 Å, c = 5.773 Å
α = 90.00°, β = 90.00°, γ = 90.00°
Fractional positions:
Ca1 0.000 0.000 0.500
Ca2 0.000 0.500 0.000
Rh1 0.000 0.000 0.000
Ba1 0.500 0.500 0.500
La1 0.500 0.000 0.000

* SG: No. 123
* DFT formation energy: -320 meV/atom
* DOS(E_F): 4.97 states/eV per cell
* crystal system: tetragonal

# 3
The following is a SCAN calculation of a PBEsol-optimized structure of V4CoCuO12, from the Alexandria database.

a = 5.809 Å, b = 6.532 Å, c = 6.532 Å
α = 96.29°, β = 104.45°, γ = 75.55°
Site moments in Bohr magnetons follow the coordinates.
Fractional positions:
Co1 0.000 0.078 0.078  2.55
O1 0.376 0.970 0.183  0.06
O2 0.505 0.925 0.619  0.04
O3 0.928 0.795 0.035  0.04
O4 0.313 0.622 0.355  0.00
O5 0.495 0.619 0.925  0.04
O6 0.804 0.663 0.376  0.00
O7 0.687 0.355 0.622  0.00
O8 0.029 0.367 0.092  0.05
O9 0.196 0.376 0.663  0.00
O10 0.624 0.183 0.970  0.06
O11 0.971 0.092 0.367  0.05
O12 0.072 0.035 0.795  0.04
Cu1 0.500 0.916 0.916  0.69
V1 0.503 0.800 0.384  0.07
V2 0.016 0.607 0.212  0.08
V3 0.497 0.384 0.800  0.07
V4 0.984 0.212 0.607  0.08

* SG: No. 5
* DOS(E_F): 0.95 states/eV per cell
* crystal system: monoclinic
* formation energy (no corrections): -2.1877 eV/atom

# 4
The following is a SCAN calculation of a PBEsol-optimized structure of TcMo3, from the Alexandria database.

a = 2.563 Å, b = 4.593 Å, c = 5.160 Å
α = 90.00°, β = 90.00°, γ = 90.00°
Fractional positions:
Mo1 0.000 0.000 0.019
Mo2 0.500 0.000 0.514
Mo3 0.500 0.500 0.815
Tc1 0.000 0.500 0.318

* excess energy over the best structure of this formula in the dataset: 345 meV/atom
* SG: No. 25
* DFT formation energy: 364 meV/atom
* DOS(E_F): 4.81 states/eV per cell
* crystal system: orthorhombic

# 5
The following is a SCAN calculation of a PBEsol-optimized structure of AlIrSe2, from the Alexandria database.

a = 4.523 Å, b = 4.523 Å, c = 4.523 Å
α = 60.00°, β = 60.00°, γ = 60.00°
Fractional positions:
Ir1 0.250 0.250 0.250
Al1 0.500 0.500 0.500
Se1 0.000 0.000 0.000
Se2 0.750 0.750 0.750

* SG: No. 216
* DOS(E_F): 3.24 states/eV per cell
* crystal system: cubic
* formation energy (no corrections): 0.4986 eV/atom

# 6
The following is a SCAN calculation of a PBEsol-optimized structure of CdTc, from the Alexandria database.

a = 4.511 Å, b = 4.511 Å, c = 4.511 Å
α = 60.00°, β = 60.00°, γ = 60.00°
Fractional positions:
Cd1 0.250 0.250 0.250
Cd2 0.000 0.000 0.000
Tc1 0.500 0.500 0.500
Tc2 0.750 0.750 0.750

* excess energy over the best structure of this formula in the dataset: 183 meV/atom
* SG: No. 227
* DFT formation energy: 474 meV/atom
* DOS(E_F): 2.28 states/eV per cell
* crystal system: cubic

# 7
The following is a SCAN calculation of a PBEsol-optimized structure of RePb2Cl, from the Alexandria database.

a = 4.929 Å, b = 4.929 Å, c = 4.929 Å
α = 60.00°, β = 60.00°, γ = 60.00°
Fractional positions:
Pb1 0.000 0.000 0.000
Pb2 0.250 0.250 0.250
Re1 0.500 0.500 0.500
Cl1 0.750 0.750 0.750

* SG: No. 216
* DOS(E_F): 0.06 states/eV per cell
* crystal system: cubic
* formation energy (no corrections): 1.0092 eV/atom

# 8
The following is a SCAN calculation of a PBEsol-optimized structure of Mn4Ga3Co8Ge, from the Alexandria database.

a = 3.981 Å, b = 3.981 Å, c = 13.201 Å
α = 81.33°, β = 81.33°, γ = 60.00°
Site moments in Bohr magnetons follow the coordinates.
Fractional positions:
Mn1 0.125 0.125 0.625  2.98
Mn2 0.376 0.376 0.873  3.03
Mn3 0.624 0.624 0.127  3.03
Mn4 0.875 0.875 0.375  2.98
Ga1 0.250 0.250 0.250  -0.12
Ga2 0.500 0.500 0.500  -0.12
Ga3 0.750 0.750 0.750  -0.12
Co1 0.188 0.188 0.437  0.80
Co2 0.437 0.437 0.688  0.81
Co3 0.687 0.687 0.939  0.81
Co4 0.938 0.938 0.186  0.86
Co5 0.812 0.812 0.563  0.80
Co6 0.062 0.062 0.814  0.86
Co7 0.313 0.313 0.061  0.81
Co8 0.563 0.563 0.312  0.81
Ge1 0.000 0.000 0.000  -0.08

* SG: No. 166
* DFT formation energy: -324 meV/atom
* DOS(E_F): 8.44 states/eV per cell
* crystal system: trigonal